[1]
A relaxed structure of Cs2Na9Hg3. Source: Alexandria, functional GGA-PBE.

Lattice parameters (Å, degrees): 10.088 10.088 13.510 88.85 111.13 122.96
Fractional positions:
Cs  0.365  0.241  0.759
Cs  0.635  0.759  0.241
Cs  0.982  0.605  0.741
Cs  0.018  0.395  0.259
Na  0.478  0.926  0.749
Na  0.522  0.074  0.251
Na  0.677  0.729  0.751
Na  0.323  0.271  0.249
Na  0.428  0.624  0.916
Na  0.572  0.376  0.084
Na  0.208  0.511  0.584
Na  0.792  0.489  0.416
Na  0.916  0.166  0.750
Na  0.084  0.834  0.250
Na  0.158  0.006  0.982
Na  0.842  0.994  0.018
Na  0.524  0.176  0.518
Na  0.476  0.824  0.482
Na  0.864  0.861  0.554
Na  0.136  0.139  0.446
Na  0.807  0.310  0.946
Na  0.193  0.690  0.054
Hg  0.500  0.000  0.000
Hg  0.500  0.500  0.500
Hg  0.835  0.167  0.488
Hg  0.165  0.833  0.512
Hg  0.179  0.347  0.012
Hg  0.821  0.653  0.988

Energy in eV per formula unit: -15.96
Size of the total moment in μB/atom: 0.000
ΔE_f in meV/atom: -106
Space-group type: C2/c (15)

---

[2]
A relaxed structure of Cs2Na3Hg6. Source: Alexandria, functional GGA-PBE.

Lattice parameters (Å, degrees): 4.917 9.285 9.285 100.53 90.00 90.00
Fractional positions:
Cs  0.000  0.296  0.704
Cs  0.000  0.704  0.296
Na  0.000  0.203  0.203
Na  0.000  0.797  0.797
Na  0.500  0.000  0.000
Hg  0.500  0.375  0.375
Hg  0.500  0.625  0.625
Hg  0.500  0.040  0.352
Hg  0.500  0.960  0.648
Hg  0.500  0.352  0.040
Hg  0.500  0.648  0.960

Energy in eV per formula unit: -9.79
Size of the total moment in μB/atom: 0.000
ΔE_f in meV/atom: -211
Space-group type: Cmmm (65)

---

[3]
A relaxed structure of CsNa2Hg2. Source: Alexandria, functional GGA-PBE.

Lattice parameters (Å, degrees): 5.246 6.177 7.094 106.09 111.70 90.00
Fractional positions:
Cs  0.000  0.000  0.000
Na  0.337  0.422  0.674
Na  0.663  0.578  0.326
Hg  0.733  0.124  0.466
Hg  0.267  0.876  0.534

Energy in eV per formula unit: -5.03
Size of the total moment in μB/atom: 0.000
Offset from the most stable computed form in eV per atom: 0.002
ΔE_f in meV/atom: -188
Space-group type: C2/m (12)